(1)
Below is a relaxed structure of Y2PtCl2, with properties calculated at the PBE-GGA level.

Values from the calculation:
Crystal system: monoclinic
DFT total energy (eV/atom): -6.216

Unit cell a=3.9359 b=3.9355 c=11.1295 alpha=80.80 beta=79.82 gamma=60.00
With the nearest neighbours (Å) after each atom.
Atoms (fractional coordinates):
Cl: 0.4477 0.9181 0.1865  3 Y 2.85
Cl: 0.5523 0.0819 0.8135  3 Y 2.85
Y: 0.2766 0.7912 0.6556  3 Pt 2.84, 3 Cl 2.85
Y: 0.7234 0.2088 0.3444  3 Pt 2.84, 3 Cl 2.85
Pt: 0.0000 0.5000 0.5000  6 Y 2.84

---

(2)
Below is a relaxed structure of YPtCl2, with properties calculated at the PBE-GGA level.

Values from the calculation:
Crystal system: orthorhombic
Distance to the lowest polymorph of the same formula (meV/atom): 186.4

Unit cell a=6.9193 b=6.9193 c=6.9193 alpha=151.64 beta=138.39 gamma=51.12
With the nearest neighbours (Å) after each atom.
Atoms (fractional coordinates):
Cl: 0.0760 0.0760 0.0000  2 Y 2.71
Pt: 0.4187 0.4187 0.0000  2 Y 2.75
Y: 0.2456 0.7456 0.5000  6 Cl 2.71-2.99, 2 Pt 2.75
Cl: 0.7597 0.2597 0.5000  4 Y 2.99, 2 Pt 3.16

---

(3)
Below is a relaxed structure of YZnPt2Cl, with properties calculated at the PBE-GGA level.

Values from the calculation:
Crystal system: tetragonal
DFT total energy (eV/atom): -4.129

Unit cell a=5.2759 b=5.0828 c=5.2759 alpha=90.00 beta=90.00 gamma=90.00
With the nearest neighbours (Å) after each atom.
Atoms (fractional coordinates):
Pt: 0.5000 0.0000 0.0000  2 Y 2.64
Cl: 0.0000 0.5000 0.0000  2 Y 2.54
Y: 0.0000 0.0000 0.0000  2 Cl 2.54, 4 Pt 2.64
Pt: 0.0000 0.0000 0.5000  2 Y 2.64
Zn: 0.5000 0.5000 0.5000  8 Pt 3.66, 4 Cl 3.73

---

(4)
Below is a relaxed structure of Zn2PtCl, with properties calculated at the PBE-GGA level.

Values from the calculation:
Crystal system: tetragonal
Distance to the lowest polymorph of the same formula (meV/atom): 368.9

Unit cell a=6.5871 b=6.5871 c=5.9712 alpha=56.53 beta=56.53 gamma=90.00
With the nearest neighbours (Å) after each atom.
Atoms (fractional coordinates):
Cl: 0.5000 0.5000 0.0000  4 Zn 2.53
Cl: 0.2500 0.7500 0.5000  4 Zn 2.53
Zn: 0.1192 0.6250 0.2500  2 Pt 2.48, 2 Cl 2.53
Zn: 0.6308 0.1250 0.2500  2 Pt 2.48, 2 Cl 2.53
Zn: 0.8750 0.8808 0.7500  2 Pt 2.48, 2 Cl 2.53
Pt: 0.0000 0.0000 0.0000  4 Zn 2.48
Pt: 0.7500 0.2500 0.5000  4 Zn 2.48
Zn: 0.3750 0.3692 0.7500  2 Pt 2.48, 2 Cl 2.53

---

(5)
Below is a relaxed structure of Zn2PtCl, with properties calculated at the PBE-GGA level.

Values from the calculation:
Crystal system: orthorhombic
Distance to the lowest polymorph of the same formula (meV/atom): 386.6

Unit cell a=5.5066 b=5.5066 c=5.5066 alpha=147.47 beta=101.91 gamma=87.17
With the nearest neighbours (Å) after each atom.
Atoms (fractional coordinates):
Zn: 0.0028 0.0028 0.0000  2 Pt 2.50, 2 Cl 2.54
Cl: 0.7500 0.2500 0.5000  4 Zn 2.54
Pt: 0.2500 0.7500 0.5000  4 Zn 2.50
Zn: 0.4972 0.4972 0.0000  2 Pt 2.50, 2 Cl 2.54

---

(6)
Below is a relaxed structure of ZnPtCl, with properties calculated at the PBE-GGA level.

Values from the calculation:
Crystal system: orthorhombic
Distance to the lowest polymorph of the same formula (meV/atom): 39.7

Unit cell a=3.0967 b=3.0995 c=13.9999 alpha=90.00 beta=90.00 gamma=119.97
With the nearest neighbours (Å) after each atom.
Atoms (fractional coordinates):
Cl: 0.2208 0.4415 0.8843  3 Zn 2.41
Pt: 0.6681 0.3361 0.6348  3 Zn 2.60
Cl: 0.2208 0.4415 0.1157  3 Zn 2.41
Zn: 0.5540 0.1080 0.0000  6 Cl 2.41
Zn: 0.3350 0.6700 0.5000  6 Pt 2.60
Pt: 0.6681 0.3361 0.3652  3 Zn 2.60

---

(7)
Below is a relaxed structure of Zn2PtCl6, with properties calculated at the PBE-GGA level.

Values from the calculation:
Crystal system: monoclinic
DFT total energy (eV/atom): -3.017

Unit cell a=7.0883 b=8.9887 c=8.9887 alpha=71.79 beta=66.85 gamma=66.85
With the nearest neighbours (Å) after each atom.
Atoms (fractional coordinates):
Cl: 0.7112 0.6622 0.0405  1 Pt 2.31, 1 Zn 2.39
Zn: 0.2202 0.6217 0.8322  4 Cl 2.27-2.39
Pt: 0.2500 0.1825 0.8175  4 Cl 2.31
Cl: 0.9203 0.3096 0.3767  2 Zn 2.27-2.36
Cl: 0.8792 0.2711 0.9360  1 Zn 2.31, 1 Pt 2.31
Zn: 0.7202 0.8322 0.6217  4 Cl 2.27-2.39
Cl: 0.5797 0.6233 0.6904  2 Zn 2.27-2.36
Cl: 0.3792 0.9360 0.2711  1 Zn 2.31, 1 Pt 2.31
Cl: 0.2888 0.3378 0.9595  1 Pt 2.31, 1 Zn 2.39
Cl: 0.1208 0.7289 0.0640  1 Zn 2.31, 1 Pt 2.31
Zn: 0.7798 0.3783 0.1678  4 Cl 2.27-2.39
Cl: 0.7888 0.9595 0.3378  1 Pt 2.31, 1 Zn 2.39
Cl: 0.2112 0.0405 0.6622  1 Pt 2.31, 1 Zn 2.39
Cl: 0.0797 0.6904 0.6233  2 Zn 2.27-2.36
Cl: 0.4203 0.3767 0.3096  2 Zn 2.27-2.36
Cl: 0.6208 0.0640 0.7289  1 Zn 2.31, 1 Pt 2.31
Pt: 0.7500 0.8175 0.1825  4 Cl 2.31
Zn: 0.2798 0.1678 0.3783  4 Cl 2.27-2.39

---

(8)
Below is a relaxed structure of Zn2PtCl2, with properties calculated at the PBE-GGA level.

Values from the calculation:
Crystal system: tetragonal
Distance to the lowest polymorph of the same formula (meV/atom): 0.0

Unit cell a=5.3406 b=5.3406 c=5.3058 alpha=59.78 beta=59.78 gamma=90.00
With the nearest neighbours (Å) after each atom.
Atoms (fractional coordinates):
Cl: 0.6940 0.6940 0.6119  1 Pt 2.28
Zn: 0.7500 0.2500 0.5000  4 Cl 2.70
Cl: 0.3060 0.3060 0.3881  1 Pt 2.28
Zn: 0.2500 0.7500 0.5000  4 Cl 2.70
Pt: 0.0000 0.0000 0.0000  2 Cl 2.28